No. 1
This record from Alexandria describes a geometry-optimized Eu2H4Pt structure. The functional is PBE.

Lattice parameters (Å, degrees): 3.648 3.648 7.543 76.01 76.01 90.00
Each line ends with the local moment (μB).
Fractional positions:
Eu (0.361, 0.361, 0.279)  6.87
Eu (0.639, 0.639, 0.721)  6.87
H (0.189, 0.189, 0.623)  -0.03
H (0.811, 0.811, 0.377)  -0.03
H (0.000, 0.500, 0.000)  -0.01
H (0.500, 0.000, 0.000)  -0.01
Pt (0.000, 0.000, 0.000)  -0.04

Output
Total DFT energy (no corrections)   -0.457 Ry per atom
Symmetry   I4/mmm

No. 2
This record from Alexandria describes a geometry-optimized ErTmTlPd structure. The functional is PBE.

Lattice parameters (Å, degrees): 5.120 5.120 5.120 60.00 60.00 60.00
Fractional positions:
Tl (0.000, 0.000, 0.000)
Tm (0.750, 0.750, 0.750)
Pd (0.500, 0.500, 0.500)
Er (0.250, 0.250, 0.250)

Output
Total DFT energy (no corrections)   -0.346 Ry per atom
Symmetry   F-43m
Energy relative to the lowest polymorph listed for this composition   0.072 eV/atom
Energy of formation   -12.88 kcal/mol of atoms

No. 3
This record from Alexandria describes a geometry-optimized Sc2Sb2Os structure. The functional is PBE.

Lattice parameters (Å, degrees): 6.880 6.880 4.452 90.00 90.00 90.00
Fractional positions:
Sc (0.167, 0.667, 0.500)
Sc (0.667, 0.833, 0.500)
Sc (0.833, 0.333, 0.500)
Sc (0.333, 0.167, 0.500)
Sb (0.352, 0.852, 0.000)
Sb (0.852, 0.648, 0.000)
Sb (0.648, 0.148, 0.000)
Sb (0.148, 0.352, 0.000)
Os (0.000, 0.000, 0.000)
Os (0.500, 0.500, 0.000)

Output
Total DFT energy (no corrections)   -0.500 Ry per atom
Formation energy (no corrections)   -369 meV/atom
Symmetry   P4/mbm

No. 4
This record from Alexandria describes a geometry-optimized AcLaIN structure. The functional is PBE.

Lattice parameters (Å, degrees): 3.924 3.930 8.475 89.93 103.39 120.18
Fractional positions:
Ac (0.518, 0.157, 0.691)
La (0.083, 0.940, 0.038)
I (0.960, 0.378, 0.353)
N (0.316, 0.556, 0.888)

Output
Total DFT energy (no corrections)   -0.433 Ry per atom
Formation energy (no corrections)   -1165 meV/atom
Symmetry   Cm

No. 5
This record from Alexandria describes a geometry-optimized Ba3CuSe structure. The functional is PBE.

Lattice parameters (Å, degrees): 6.266 6.266 6.266 90.00 90.00 90.00
Fractional positions:
Cu (0.500, 0.500, 0.500)
Ba (0.000, 0.500, 0.000)
Ba (0.000, 0.000, 0.500)
Ba (0.500, 0.000, 0.000)
Se (0.000, 0.000, 0.000)

Output
Total DFT energy (no corrections)   -0.225 Ry per atom
Formation energy (no corrections)   -394 meV/atom
Symmetry   Pm-3m
Energy relative to the lowest polymorph listed for this composition   0.000 eV/atom

No. 6
This record from Alexandria describes a geometry-optimized PmTh3Ge4 structure. The functional is PBE.

Lattice parameters (Å, degrees): 7.449 7.445 8.549 90.00 90.00 109.34
Fractional positions:
Ge (0.000, 0.250, 0.624)
Ge (0.500, 0.250, 0.875)
Ge (0.500, 0.250, 0.376)
Ge (0.000, 0.250, 0.125)
Ge (0.000, 0.750, 0.875)
Ge (0.500, 0.750, 0.624)
Ge (0.500, 0.750, 0.125)
Ge (0.000, 0.750, 0.376)
Th (0.750, 0.000, 0.374)
Th (0.250, 0.000, 0.626)
Th (0.750, 0.500, 0.626)
Th (0.750, 0.500, 0.125)
Th (0.250, 0.500, 0.374)
Th (0.250, 0.500, 0.875)
Pm (0.750, 0.000, 0.875)
Pm (0.250, 0.000, 0.125)

Output
Total DFT energy (no corrections)   -0.473 Ry per atom
Symmetry   P2/c
Energy of formation   -17.42 kcal/mol of atoms

No. 7
This record from Alexandria describes a geometry-optimized Pu2PtI2 structure. The functional is PBE.

Lattice parameters (Å, degrees): 4.186 4.186 11.918 80.94 79.88 60.00
Each line ends with the local moment (μB).
Fractional positions:
Pu (0.717, 0.203, 0.363)  -5.39
Pu (0.283, 0.797, 0.637)  -5.39
Pt (0.000, 0.500, 0.500)  0.09
I (0.450, 0.918, 0.182)  0.04
I (0.550, 0.082, 0.818)  0.04

Output
Total DFT energy (no corrections)   -0.620 Ry per atom
Formation energy (no corrections)   -878 meV/atom
Symmetry   C2/m

No. 8
This record from Alexandria describes a geometry-optimized Y3Zn9Ge2 structure. The functional is PBE.

Lattice parameters (Å, degrees): 4.297 8.117 8.117 73.82 74.65 74.65
Fractional positions:
Y (0.000, 0.000, 0.000)
Y (0.691, 0.309, 0.309)
Y (0.309, 0.691, 0.691)
Zn (0.000, 0.500, 0.500)
Zn (0.660, 0.967, 0.713)
Zn (0.340, 0.033, 0.287)
Zn (0.660, 0.713, 0.967)
Zn (0.340, 0.287, 0.033)
Zn (0.855, 0.874, 0.416)
Zn (0.145, 0.126, 0.584)
Zn (0.855, 0.416, 0.874)
Zn (0.145, 0.584, 0.126)
Ge (0.500, 0.295, 0.705)
Ge (0.500, 0.705, 0.295)

Output
Total DFT energy (no corrections)   -0.237 Ry per atom
Symmetry   Immm
Energy of formation   -8.32 kcal/mol of atoms

No. 9
This record from Alexandria describes a geometry-optimized Ho2BeZn2Ni5 structure. The functional is PBE.

Lattice parameters (Å, degrees): 3.294 9.389 9.389 90.00 90.00 90.00
Fractional positions:
Ho (0.000, 0.673, 0.173)
Ho (0.000, 0.327, 0.827)
Ho (0.000, 0.173, 0.327)
Ho (0.000, 0.827, 0.673)
Be (0.000, 0.000, 0.000)
Be (0.000, 0.500, 0.500)
Zn (0.000, 0.127, 0.627)
Zn (0.000, 0.873, 0.373)
Zn (0.000, 0.627, 0.873)
Zn (0.000, 0.373, 0.127)
Ni (0.500, 0.186, 0.053)
Ni (0.500, 0.814, 0.947)
Ni (0.500, 0.053, 0.814)
Ni (0.500, 0.686, 0.447)
Ni (0.500, 0.947, 0.186)
Ni (0.500, 0.314, 0.553)
Ni (0.500, 0.553, 0.686)
Ni (0.500, 0.447, 0.314)
Ni (0.500, 0.500, 0.000)
Ni (0.500, 0.000, 0.500)

Output
Total DFT energy (no corrections)   -0.341 Ry per atom
Symmetry   P4/mbm
Energy of formation   -4.74 kcal/mol of atoms

No. 10
This record from Alexandria describes a geometry-optimized Pm2Ag3Sn structure. The functional is PBE.

Lattice parameters (Å, degrees): 6.036 6.036 9.685 113.55 113.55 73.60
Fractional positions:
Pm (0.750, 0.250, 0.500)
Pm (0.762, 0.238, 0.000)
Pm (0.250, 0.750, 0.500)
Pm (0.238, 0.762, 0.000)
Ag (0.834, 0.834, 0.165)
Ag (0.669, 0.669, 0.835)
Ag (0.166, 0.166, 0.835)
Ag (0.331, 0.331, 0.165)
Ag (0.167, 0.167, 0.334)
Ag (0.833, 0.833, 0.666)
Sn (0.664, 0.664, 0.329)
Sn (0.336, 0.336, 0.671)

Output
Total DFT energy (no corrections)   -0.299 Ry per atom
Symmetry   Fmmm
Energy of formation   -9.02 kcal/mol of atoms

No. 11
This record from Alexandria describes a geometry-optimized BeTe2Pt structure. The functional is PBE.

Lattice parameters (Å, degrees): 7.745 7.745 7.745 30.92 30.92 30.92
Fractional positions:
Be (0.000, 0.000, 0.000)
Te (0.104, 0.104, 0.104)
Te (0.896, 0.896, 0.896)
Pt (0.500, 0.500, 0.500)

Output
Total DFT energy (no corrections)   -0.283 Ry per atom
Formation energy (no corrections)   157 meV/atom
Symmetry   R-3m

No. 12
This record from Alexandria describes a geometry-optimized Rb2BiB2 structure. The functional is PBE.

Lattice parameters (Å, degrees): 6.656 6.656 5.617 90.00 90.00 90.00
Fractional positions:
B (0.415, 0.915, 0.000)
B (0.915, 0.585, 0.000)
B (0.585, 0.085, 0.000)
B (0.085, 0.415, 0.000)
Bi (0.000, 0.000, 0.000)
Bi (0.500, 0.500, 0.000)
Rb (0.195, 0.695, 0.500)
Rb (0.695, 0.805, 0.500)
Rb (0.805, 0.305, 0.500)
Rb (0.305, 0.195, 0.500)

Output
Total DFT energy (no corrections)   -0.229 Ry per atom
Symmetry   P4/mbm
Energy relative to the lowest polymorph listed for this composition   0.000 eV/atom
Energy of formation   16.56 kcal/mol of atoms

M_tot for the records above, in order: 14.2 0.0 0.0 0.0 0.0 0.0 11.4 0.0 0.0 0.0 0.0 0.0 μB per formula unit